(1)
Entry from the Alexandria database: a relaxed structure of PrEr6Tm2Sc3 (PBE-GGA).

DFT formation energy in eV per atom: 0.05
Density of states at the Fermi level in states/eV/f.u.: 17.95
Space group: No. 12

Unit cell a=6.0081 b=6.0081 c=11.4281 alpha=95.02 beta=95.02 gamma=119.97
With the nearest neighbours (Å) after each atom.
Positions (direct):
Pr 0.0000 0.0000 0.0000  6 Tm 3.47, 6 Er 3.54
Er 0.9134 0.5794 0.7404  3 Sc 3.36-3.37, 6 Er 3.46-3.48, 2 Tm 3.54, 1 Pr 3.54
Er 0.7524 0.7524 0.2596  3 Sc 3.36-3.37, 6 Er 3.46-3.48, 2 Tm 3.54, 1 Pr 3.54
Er 0.0866 0.4206 0.2596  3 Sc 3.36-3.37, 6 Er 3.46-3.48, 2 Tm 3.54, 1 Pr 3.54
Er 0.5794 0.9134 0.7404  3 Sc 3.36-3.37, 6 Er 3.46-3.48, 2 Tm 3.54, 1 Pr 3.54
Er 0.2476 0.2476 0.7404  3 Sc 3.36-3.37, 6 Er 3.46-3.48, 2 Tm 3.54, 1 Pr 3.54
Er 0.4206 0.0866 0.2596  3 Sc 3.36-3.37, 6 Er 3.46-3.48, 2 Tm 3.54, 1 Pr 3.54
Tm 0.3334 0.6666 0.0000  3 Tm 3.47, 3 Pr 3.47, 6 Er 3.54
Tm 0.6666 0.3334 0.0000  3 Tm 3.47, 3 Pr 3.47, 6 Er 3.54
Sc 0.1669 0.8331 0.5000  6 Er 3.36-3.37, 6 Sc 3.47
Sc 0.8331 0.1669 0.5000  6 Er 3.36-3.37, 6 Sc 3.47
Sc 0.5000 0.5000 0.5000  6 Er 3.36-3.37, 6 Sc 3.47

(2)
Entry from the Alexandria database: a relaxed structure of Np2Ga3Re (PBE-GGA).

DFT formation energy in eV per atom: -0.08
Density of states at the Fermi level in states/eV/f.u.: 11.21
Space group: No. 166

Unit cell a=5.3320 b=5.3320 c=5.4382 alpha=90.01 beta=119.36 gamma=119.99
With the nearest neighbours (Å) after each atom.
Positions (direct):
Np 0.7373 0.3688 0.1061  3 Re 3.12, 9 Ga 3.12-3.20, 3 Np 3.22
Np 0.2626 0.6312 0.8939  3 Re 3.12, 9 Ga 3.12-3.20, 3 Np 3.22
Ga 0.5000 0.5000 0.5000  4 Ga 2.67, 2 Re 2.72
Ga 0.0000 0.0000 0.5000  4 Ga 2.67, 2 Re 2.72
Ga 0.5000 0.0000 0.5000  4 Ga 2.67, 2 Re 2.72
Re 0.0000 0.0000 0.0000  6 Ga 2.72

What did the second record say?
Entry from the Alexandria database: a relaxed structure of Np2Ga3Re (PBE-GGA).

DFT formation energy in eV per atom: -0.08
Density of states at the Fermi level in states/eV/f.u.: 11.21
Space group: No. 166

Unit cell a=5.3320 b=5.3320 c=5.4382 alpha=90.01 beta=119.36 gamma=119.99
With the nearest neighbours (Å) after each atom.
Positions (direct):
Np 0.7373 0.3688 0.1061  3 Re 3.12, 9 Ga 3.12-3.20, 3 Np 3.22
Np 0.2626 0.6312 0.8939  3 Re 3.12, 9 Ga 3.12-3.20, 3 Np 3.22
Ga 0.5000 0.5000 0.5000  4 Ga 2.67, 2 Re 2.72
Ga 0.0000 0.0000 0.5000  4 Ga 2.67, 2 Re 2.72
Ga 0.5000 0.0000 0.5000  4 Ga 2.67, 2 Re 2.72
Re 0.0000 0.0000 0.0000  6 Ga 2.72